<a>
# PBE-GGA Pt2IBr2, relaxed
data_Pt2IBr2
_cell_length_a 11.9210
_cell_length_b 11.9210
_cell_length_c 3.0091
_cell_angle_alpha 90.00
_cell_angle_beta 90.00
_cell_angle_gamma 90.00
_symmetry_space_group_name_H-M 'P 4/m b m'
_symmetry_Int_Tables_number 127
_symmetry_space_group_name_Hall '-P 4 2ab'
loop_
_atom_site_label
_atom_site_fract_x
_atom_site_fract_y
_atom_site_fract_z
Pt1 0.0748 0.4252 0.0000
I1 0.0000 0.0000 0.5000
Br1 0.1871 0.3129 0.5000
# Total magnetic moment = 0.00 μB per cell
# DOS(E_F) = 1.4536 states/eV per atom

***

<b>
# PBE-GGA Pt2IBr2, relaxed
data_Pt2IBr2
_cell_length_a 3.7271
_cell_length_b 3.7271
_cell_length_c 22.6848
_cell_angle_alpha 90.00
_cell_angle_beta 90.00
_cell_angle_gamma 90.00
_symmetry_space_group_name_H-M 'I 4/m m m'
_symmetry_Int_Tables_number 139
_symmetry_space_group_name_Hall '-I 4 2'
loop_
_atom_site_label
_atom_site_fract_x
_atom_site_fract_y
_atom_site_fract_z
Pt1 0.0000 0.5000 0.2500
I1 0.0000 0.0000 0.0000
Br1 0.0000 0.0000 0.3422
# Total magnetic moment = 0.00 μB per cell
# DOS(E_F) = 0.8037 states/eV per atom

***

Result of the stability comparison: <a> is the least stable of them.

***

<a>
# PBE-GGA PtI2Br, relaxed
data_PtI2Br
_cell_length_a 7.3845
_cell_length_b 7.3845
_cell_length_c 7.3845
_cell_angle_alpha 90.00
_cell_angle_beta 90.00
_cell_angle_gamma 90.00
_symmetry_space_group_name_H-M 'F m -3 m'
_symmetry_Int_Tables_number 225
_symmetry_space_group_name_Hall '-F 4 2 3'
loop_
_atom_site_label
_atom_site_fract_x
_atom_site_fract_y
_atom_site_fract_z
Pt1 0.0000 0.0000 0.0000
I1 0.2500 0.2500 0.2500
Br1 0.0000 0.0000 0.5000
# Total magnetic moment = 0.00 μB per cell
# DOS(E_F) = 1.0752 states/eV per atom

***

<b>
# PBE-GGA PtI2Br, relaxed
data_PtI2Br
_cell_length_a 6.8394
_cell_length_b 6.6920
_cell_length_c 13.9022
_cell_angle_alpha 90.00
_cell_angle_beta 110.45
_cell_angle_gamma 90.00
_symmetry_space_group_name_H-M 'P 1 21/c 1'
_symmetry_Int_Tables_number 14
loop_
_symmetry_equiv_pos_as_xyz
'x,y,z'
'-x,-y,-z'
'-x,y+1/2,-z+1/2'
'x,-y+1/2,z+1/2'
loop_
_atom_site_label
_atom_site_fract_x
_atom_site_fract_y
_atom_site_fract_z
Pt1 0.2202 0.0240 0.4395
I1 0.1264 0.7192 0.0675
I2 0.4783 0.7337 0.9082
Br1 0.2501 0.2464 0.3024
# Total magnetic moment = 0.00 μB per cell
# DOS(E_F) = 0.1149 states/eV per atom

***

Result of the stability comparison: <a> is the least stable of them.